4
Lattice="2.9167 0.0000 0.0000 0.0000 4.4340 0.0000 0.0000 0.0000 5.6670" Properties=species:S:1:pos:R:3 comment="ReAuCl2 (PBE, relaxed)" magnetic_moment_mub_per_fu=2.28 e_tot_ev_per_cell=-15.61 volume_a3_per_atom=18.32 formation_energy_uncorrected_ev_per_fu=3.812 polymorph_energy_mev_per_atom=834 pbc="T T T"
Re 0.0000 0.0000 0.0000
Au 1.4583 0.0000 2.8335
Cl 0.0000 2.2170 2.8335
Cl 1.4583 2.2170 0.0000